[1]
Entry from Alexandria: CaTl2Ag at its PBEsol-relaxed geometry (SCAN).

The structure belongs to space group P2/m (No. 10); the cell edges are 3.549, 4.741 and 6.028 Å and the angles 90.00°, 100.95° and 90.00°. The distinct sites, in fractional coordinates, are Ca at (0.000, 0.000, 0.000), Tl at (0.348, 0.500, 0.732) and Ag at (0.500, 0.000, 0.500).

As for the total energy: -46.661 eV per atom. The value obtained for the density of states at the Fermi level is 1.69 states/eV per cell.



[2]
Entry from Alexandria: Ba3Sr2 at its PBEsol-relaxed geometry (SCAN).

The structure belongs to space group R-3m (No. 166, hexagonal axes); the cell edges are 4.2782, 4.2782 and 52.9241 Å and the angles 90.00°, 90.00° and 120.00°. The distinct sites, in fractional coordinates, are Ba at (0.0000, 0.0000, 0.0000), Ba at (0.0000, 0.0000, 0.2007) and Sr at (0.0000, 0.0000, 0.3998).

As for the total energy: -32.609 eV per atom. The value obtained for the density of states at the Fermi level is 18.64 states/eV per cell.



[3]
Entry from Alexandria: BaSrLa2 at its PBEsol-relaxed geometry (SCAN).

The structure belongs to space group P4mm (No. 99); the cell edges are 3.851, 3.851 and 11.547 Å and the angles 90.00°, 90.00° and 90.00°. The distinct sites, in fractional coordinates, are Ba at (0.000, 0.000, 0.000), Sr at (0.500, 0.500, 0.707), La at (0.000, 0.000, 0.454) and La at (0.500, 0.500, 0.257).

As for the total energy: -36.919 eV per atom. Its offset from the most stable computed form is 0 meV/atom. The value obtained for the density of states at the Fermi level is 4.83 states/eV per cell.



[4]
Entry from Alexandria: BaTa2MnS at its PBEsol-relaxed geometry (SCAN).

The structure belongs to space group P4/mmm (No. 123); the cell edges are 4.748, 4.748 and 4.465 Å and the angles 90.00°, 90.00° and 90.00°. The distinct sites, in fractional coordinates, are Ba at (0.000, 0.000, 0.000), Ta at (0.000, 0.500, 0.500), Mn at (0.500, 0.500, 0.000) and S at (0.500, 0.500, 0.500).

As for the total energy: -39.533 eV per atom. The value obtained for the density of states at the Fermi level is 3.58 states/eV per cell.



[5]
Entry from Alexandria: La5Tl at its PBEsol-relaxed geometry (SCAN).

The structure belongs to space group Cm (No. 8); the cell edges are 12.702, 3.706 and 8.609 Å and the angles 90.00°, 106.37° and 90.00°. The distinct sites, in fractional coordinates, are La at (0.000, 0.000, 0.000), La at (0.030, 0.000, 0.611), La at (0.151, 0.500, 0.342), La at (0.304, 0.000, 0.698), La at (0.361, 0.000, 0.245) and Tl at (0.204, 0.500, 0.944).

As for the total energy: -48.196 eV per atom. Its offset from the most stable computed form is 0 meV/atom. The value obtained for the density of states at the Fermi level is 13.44 states/eV per cell.



[6]
Entry from Alexandria: CaNi2H at its PBEsol-relaxed geometry (SCAN).

The structure belongs to space group Fd-3m (No. 227, origin choice 2); the cell edges are 7.353, 7.353 and 7.353 Å and the angles 90.00°, 90.00° and 90.00°. The distinct sites, in fractional coordinates, are Ca at (0.125, 0.125, 0.125), Ni at (0.000, 0.000, 0.500) and H at (0.125, 0.125, 0.625).

As for the total energy: -11.546 eV per atom. The value obtained for the density of states at the Fermi level is 6.40 states/eV per cell.



[7]
Entry from Alexandria: SrAs2Rh2 at its PBEsol-relaxed geometry (SCAN).

The structure belongs to space group I4/mmm (No. 139); the cell edges are 4.019, 4.019 and 11.941 Å and the angles 90.00°, 90.00° and 90.00°. The distinct sites, in fractional coordinates, are Sr at (0.000, 0.000, 0.000), As at (0.000, 0.000, 0.366) and Rh at (0.000, 0.500, 0.250).

As for the total energy: -26.978 eV per atom. The value obtained for the density of states at the Fermi level is 4.35 states/eV per cell.



[8]
Entry from Alexandria: NaNdNb4O12 at its PBEsol-relaxed geometry (SCAN).

The structure belongs to space group I4/mmm (No. 139); the cell edges are 5.570, 5.570 and 15.902 Å and the angles 90.00°, 90.00° and 90.00°. The distinct sites, in fractional coordinates, are Na at (0.000, 0.000, 0.000), Nd at (0.000, 0.000, 0.500), Nb at (0.000, 0.500, 0.128), O at (0.000, 0.500, 0.000), O at (0.000, 0.500, 0.250) and O at (0.242, 0.242, 0.387).

As for the total energy: -17.023 eV per atom. The value obtained for the density of states at the Fermi level is 0.00 states/eV per cell.